The following is a GGA-PBEsol calculation of an optimized crystal structure of MnNiIr2, from Alexandria via LeMat-Bulk.

a = 5.947 Å, b = 5.947 Å, c = 5.947 Å
α = 90.00°, β = 90.00°, γ = 90.00°
Space group F-43m (No. 216)
One atom of each set of equivalent atoms:
Mn: 0.000 0.000 0.000
Ni: 0.250 0.250 0.250
Ir: 0.000 0.000 0.500
Ir: 0.250 0.250 0.750

Computed properties:
formation energy from the elements	0.253	eV/atom
N(E_F)	1.49	states/eV/atom